P | The following is a DFT calculation (GGA-PBE) of crystalline Tm3AgSn3 at its relaxed geometry.

a b c (Å): 8.5436 8.5436 5.6357
angles (deg): 90.00 90.00 120.00
Last column: nearest neighbours and their distance in Å.
Positions (direct):
Tm 0.0880 0.6376 0.2500  5 Sn 3.03-3.27, 1 Ag 3.22
Tm 0.3624 0.4504 0.2500  5 Sn 3.03-3.27, 1 Ag 3.22
Tm 0.4504 0.0880 0.7500  5 Sn 3.03-3.27, 1 Ag 3.22
Tm 0.5496 0.9120 0.2500  5 Sn 3.03-3.27, 1 Ag 3.22
Tm 0.6376 0.5496 0.7500  5 Sn 3.03-3.27, 1 Ag 3.22
Tm 0.9120 0.3624 0.7500  5 Sn 3.03-3.27, 1 Ag 3.22
Ag 0.3333 0.6667 0.7500  3 Sn 3.08, 9 Tm 3.22-3.45
Ag 0.6667 0.3333 0.2500  3 Sn 3.08, 9 Tm 3.22-3.45
Sn 0.0557 0.7965 0.7500  5 Tm 3.03-3.27, 1 Ag 3.08
Sn 0.2035 0.2592 0.7500  5 Tm 3.03-3.27, 1 Ag 3.08
Sn 0.2592 0.0557 0.2500  5 Tm 3.03-3.27, 1 Ag 3.08
Sn 0.7408 0.9443 0.7500  5 Tm 3.03-3.27, 1 Ag 3.08
Sn 0.7965 0.7408 0.2500  5 Tm 3.03-3.27, 1 Ag 3.08
Sn 0.9443 0.2035 0.2500  5 Tm 3.03-3.27, 1 Ag 3.08

***

Q | The following is a DFT calculation (GGA-PBE) of crystalline Tm3AgSn3 at its relaxed geometry.

a b c (Å): 6.0678 6.0678 14.5720
angles (deg): 106.61 106.61 43.94
Last column: nearest neighbours and their distance in Å.
Positions (direct):
Tm 0.0316 0.0316 0.3821  6 Sn 3.13-3.29, 3 Ag 3.17-3.41
Tm 0.0968 0.0968 0.9214  5 Sn 3.05-3.13
Tm 0.2306 0.2306 0.2238  6 Sn 3.11-3.39, 2 Ag 3.27
Tm 0.7694 0.7694 0.7762  6 Sn 3.11-3.39, 2 Ag 3.27
Tm 0.9032 0.9032 0.0786  5 Sn 3.05-3.13
Tm 0.9684 0.9684 0.6179  6 Sn 3.13-3.29, 3 Ag 3.17-3.41
Ag 0.2706 0.2706 0.6153  4 Sn 2.73-2.94
Ag 0.7294 0.7294 0.3847  4 Sn 2.73-2.94
Sn 0.3648 0.3648 0.4486  3 Ag 2.73-2.94, 1 Sn 2.95
Sn 0.3694 0.3694 0.9258  2 Sn 2.99-3.07, 5 Tm 3.05-3.12
Sn 0.4912 0.4912 0.7704  1 Ag 2.80, 1 Sn 2.99, 3 Tm 3.11-3.13
Sn 0.5088 0.5088 0.2296  1 Ag 2.80, 1 Sn 2.99, 3 Tm 3.11-3.13
Sn 0.6306 0.6306 0.0742  2 Sn 2.99-3.07, 5 Tm 3.05-3.12
Sn 0.6352 0.6352 0.5514  3 Ag 2.73-2.94, 1 Sn 2.95

***

Stability check: which of them is most stable? Q.

***

P | The following is a DFT calculation (GGA-PBE) of crystalline Tm3Ag2Sn at its relaxed geometry.

a b c (Å): 3.4918 3.4918 11.7771
angles (deg): 90.00 90.00 90.00
Last column: nearest neighbours and their distance in Å.
Positions (direct):
Tm 0.0000 0.0000 0.0000  8 Ag 3.07
Tm 0.0000 0.0000 0.3181  4 Ag 3.13, 4 Sn 3.27, 4 Tm 3.49
Tm 0.0000 0.0000 0.6819  4 Ag 3.13, 4 Sn 3.27, 4 Tm 3.49
Ag 0.5000 0.5000 0.1547  8 Tm 3.07-3.13
Ag 0.5000 0.5000 0.8453  8 Tm 3.07-3.13
Sn 0.5000 0.5000 0.5000  8 Tm 3.27, 4 Sn 3.49

***

Q | The following is a DFT calculation (GGA-PBE) of crystalline Tm3Ag2Sn at its relaxed geometry.

a b c (Å): 8.1441 8.1441 3.6540
angles (deg): 90.00 90.00 143.40
Last column: nearest neighbours and their distance in Å.
Positions (direct):
Tm 0.0000 0.0000 0.0000  4 Sn 3.14, 4 Ag 3.21
Tm 0.3299 0.6701 0.0000  6 Ag 3.07-3.14, 2 Sn 3.20
Tm 0.6701 0.3299 0.0000  6 Ag 3.07-3.14, 2 Sn 3.20
Ag 0.1703 0.8297 0.5000  8 Tm 3.07-3.21
Ag 0.8297 0.1703 0.5000  8 Tm 3.07-3.21
Sn 0.5000 0.5000 0.5000  8 Tm 3.14-3.20

***

Stability check: which of them is most stable? Q.

***

P | The following is a DFT calculation (GGA-PBE) of crystalline TmAgSn2 at its relaxed geometry.

a b c (Å): 4.6378 4.6378 4.3532
angles (deg): 90.00 90.00 90.00
Last column: nearest neighbours and their distance in Å.
Positions (direct):
Tm 0.0000 0.0000 0.0000  8 Sn 3.18, 4 Ag 3.28
Ag 0.5000 0.5000 0.0000  8 Sn 3.18, 4 Tm 3.28
Sn 0.0000 0.5000 0.5000  4 Ag 3.18, 4 Tm 3.18, 4 Sn 3.28
Sn 0.5000 0.0000 0.5000  4 Ag 3.18, 4 Tm 3.18, 4 Sn 3.28

***

Q | The following is a DFT calculation (GGA-PBE) of crystalline TmAgSn2 at its relaxed geometry.

a b c (Å): 5.8886 5.8886 5.8886
angles (deg): 46.61 46.61 46.61
Last column: nearest neighbours and their distance in Å.
Positions (direct):
Tm 0.0000 0.0000 0.0000  6 Sn 3.09
Ag 0.5000 0.5000 0.5000  6 Sn 2.91
Sn 0.2367 0.2367 0.2367  3 Ag 2.91, 3 Tm 3.09
Sn 0.7633 0.7633 0.7633  3 Ag 2.91, 3 Tm 3.09

***

Stability check: which of them is most stable? P.

***

P | The following is a DFT calculation (GGA-PBE) of crystalline V2AgSn2 at its relaxed geometry.

a b c (Å): 7.7274 7.7274 7.7274
angles (deg): 152.48 152.48 39.31
Last column: nearest neighbours and their distance in Å.
Positions (direct):
V 0.2500 0.7500 0.5000  4 V 2.60, 4 Sn 2.80
V 0.7500 0.2500 0.5000  4 V 2.60, 4 Sn 2.80
Ag 0.0000 0.0000 0.0000  8 Sn 3.01
Sn 0.3952 0.3952 0.0000  4 V 2.80, 4 Ag 3.01, 1 Sn 3.05
Sn 0.6048 0.6048 0.0000  4 V 2.80, 4 Ag 3.01, 1 Sn 3.05

***

Q | The following is a DFT calculation (GGA-PBE) of crystalline V2AgSn2 at its relaxed geometry.

a b c (Å): 7.3687 7.3687 3.4618
angles (deg): 90.00 90.00 90.00
Last column: nearest neighbours and their distance in Å.
Positions (direct):
V 0.1093 0.3907 0.0000  1 V 2.28
V 0.3907 0.8907 0.0000  1 V 2.28
V 0.6093 0.1093 0.0000  1 V 2.28
V 0.8907 0.6093 0.0000  1 V 2.28
Ag 0.0000 0.0000 0.0000  4 V 2.99, 8 Sn 3.20
Ag 0.5000 0.5000 0.0000  4 V 2.99, 8 Sn 3.20
Sn 0.1844 0.6844 0.5000  6 V 2.76-2.83
Sn 0.3156 0.1844 0.5000  6 V 2.76-2.83
Sn 0.6844 0.8156 0.5000  6 V 2.76-2.83
Sn 0.8156 0.3156 0.5000  6 V 2.76-2.83

***

R | The following is a DFT calculation (GGA-PBE) of crystalline V2AgSn2 at its relaxed geometry.

a b c (Å): 8.0058 8.0058 2.9599
angles (deg): 90.00 90.00 90.00
Last column: nearest neighbours and their distance in Å.
Positions (direct):
V 0.1073 0.3927 0.0000  1 V 2.43
V 0.3927 0.8927 0.0000  1 V 2.43
V 0.6073 0.1073 0.0000  1 V 2.43
V 0.8927 0.6073 0.0000  1 V 2.43
Ag 0.0000 0.0000 0.5000  4 Sn 2.93, 2 Ag 2.96
Ag 0.5000 0.5000 0.5000  4 Sn 2.93, 2 Ag 2.96
Sn 0.1839 0.6839 0.5000  6 V 2.79-2.83, 2 Ag 2.93, 2 Sn 2.96
Sn 0.3161 0.1839 0.5000  6 V 2.79-2.83, 2 Ag 2.93, 2 Sn 2.96
Sn 0.6839 0.8161 0.5000  6 V 2.79-2.83, 2 Ag 2.93, 2 Sn 2.96
Sn 0.8161 0.3161 0.5000  6 V 2.79-2.83, 2 Ag 2.93, 2 Sn 2.96

***

Stability check: which of them is most stable? Q.

***

P | The following is a DFT calculation (GGA-PBE) of crystalline VAg3Sn at its relaxed geometry.

a b c (Å): 5.1312 5.1312 5.1312
angles (deg): 90.00 90.00 90.00
Last column: nearest neighbours and their distance in Å.
Positions (direct):
V 0.0000 0.0000 0.0000  12 Ag 3.63
Ag 0.0000 0.5000 0.5000  2 Sn 2.57
Ag 0.5000 0.0000 0.5000  2 Sn 2.57
Ag 0.5000 0.5000 0.0000  2 Sn 2.57
Sn 0.5000 0.5000 0.5000  6 Ag 2.57

***

Q | The following is a DFT calculation (GGA-PBE) of crystalline VAg3Sn at its relaxed geometry.

a b c (Å): 5.0148 5.0148 5.0148
angles (deg): 90.00 90.00 90.00
Last column: nearest neighbours and their distance in Å.
Positions (direct):
V 0.0000 0.0000 0.0000  6 Ag 2.51
Ag 0.0000 0.0000 0.5000  2 V 2.51
Ag 0.0000 0.5000 0.0000  2 V 2.51
Ag 0.5000 0.0000 0.0000  2 V 2.51
Sn 0.5000 0.5000 0.5000  12 Ag 3.55

***

Stability check: which of them is most stable? P.

***

P | The following is a DFT calculation (GGA-PBE) of crystalline AgSn2W at its relaxed geometry.

a b c (Å): 4.8459 4.8459 4.8459
angles (deg): 60.00 60.00 60.00
Last column: nearest neighbours and their distance in Å.
Positions (direct):
Ag 0.0000 0.0000 0.0000  8 Sn 2.97
Sn 0.2500 0.2500 0.2500  4 W 2.97, 4 Ag 2.97
Sn 0.7500 0.7500 0.7500  4 W 2.97, 4 Ag 2.97
W 0.5000 0.5000 0.5000  8 Sn 2.97

***

Q | The following is a DFT calculation (GGA-PBE) of crystalline AgSn2W at its relaxed geometry.

a b c (Å): 6.1970 6.1970 6.1970
angles (deg): 103.96 103.96 121.16
Last column: nearest neighbours and their distance in Å.
Positions (direct):
Ag 0.0000 0.0000 0.0000  4 Sn 2.84, 2 W 3.04
Ag 0.7500 0.2500 0.5000  4 Sn 2.84, 2 W 3.04
Sn 0.1322 0.6250 0.0072  2 W 2.77, 2 Ag 2.84, 2 Sn 3.05
Sn 0.3750 0.3822 0.5072  2 W 2.77, 2 Ag 2.84, 2 Sn 3.05
Sn 0.6178 0.1250 0.9928  2 W 2.77, 2 Ag 2.84, 2 Sn 3.05
Sn 0.8750 0.8678 0.4928  2 W 2.77, 2 Ag 2.84, 2 Sn 3.05
W 0.2500 0.7500 0.5000  4 Sn 2.77, 2 Ag 3.04
W 0.5000 0.5000 0.0000  4 Sn 2.77, 2 Ag 3.04

***

Stability check: which of them is most stable? P.